(1)
# MgZn2HgSe4

A relaxed structure of MgZn2HgSe4 (GGA-PBE, the Alexandria database).

Cell and atoms, written as POSCAR:
```
MgZn2HgSe4
1.0
0.0000 4.1635 6.0093
4.1632 0.0000 6.0093
4.1632 4.1635 0.0000
Mg Zn Hg Se
1 2 1 4
direct
0.0000 0.0000 0.0000
0.2498 0.2498 0.2502
0.7498 0.7498 0.7502
0.4995 0.4995 0.5005
0.1062 0.6234 0.8938
0.3765 0.8930 0.1070
0.6234 0.1062 0.3766
0.8930 0.3765 0.6235
```

V = 208.33 Å³/cell
M_tot = 0.000 μB/atom
formation energy without anion corrections = -5.7 eV per formula unit
DFT total energy = -3.004 eV/atom



(2)
# NaV2CdI

A relaxed structure of NaV2CdI (GGA-PBE, the Alexandria database).

Cell and atoms, written as POSCAR:
```
NaV2CdI
1.0
5.3623 0.0000 0.0000
0.0000 5.3623 0.0000
0.0000 0.0000 5.4311
Na V Cd I
1 2 1 1
direct
0.0000 0.0000 0.0000
0.0000 0.5000 0.0000
0.5000 0.0000 0.0000
0.5000 0.5000 0.5000
0.0000 0.0000 0.5000
```

V = 156.17 Å³/cell
M_tot = 1.634 μB/atom
formation energy without anion corrections = 7.4 eV per formula unit
DFT total energy = -2.931 eV/atom



(3)
# MgBeTe2

A relaxed structure of MgBeTe2 (GGA-PBE, the Alexandria database).

Cell and atoms, written as POSCAR:
```
MgBeTe2
1.0
-3.0885 3.0885 5.8907
3.0885 -3.0885 5.8907
3.0885 3.0885 -5.8907
Mg Be Te
2 2 4
direct
0.0000 0.0000 0.0000
0.7500 0.2500 0.5000
0.2500 0.7500 0.5000
0.5000 0.5000 0.0000
0.1710 0.6250 0.0460
0.3750 0.4210 0.5460
0.5790 0.1250 0.9540
0.8750 0.8290 0.4540
```

V = 224.77 Å³/cell
M_tot = 0.000 μB/atom
formation energy without anion corrections = -2.3 eV per formula unit
DFT total energy = -3.464 eV/atom
energy relative to the lowest polymorph listed for this composition = 0.011 eV per atom



(4)
# ZrMn2PRh

A relaxed structure of ZrMn2PRh (GGA-PBE, the Alexandria database).

Cell and atoms, written as POSCAR:
```
ZrMn2PRh
1.0
4.4418 0.0000 0.0000
0.0000 4.4418 0.0000
0.0000 0.0000 4.4228
Zr Mn P Rh
1 2 1 1
direct
0.0000 0.0000 0.0000
0.0000 0.5000 0.5000
0.5000 0.0000 0.5000
0.5000 0.5000 0.0000
0.5000 0.5000 0.5000
```

V = 87.26 Å³/cell
M_tot = 0.000 μB/atom
DFT total energy = -7.047 eV/atom
ΔH_f (0 K) = 85 kJ per mole of atoms



(5)
# NbCu2Au

A relaxed structure of NbCu2Au (GGA-PBE, the Alexandria database).

Cell and atoms, written as POSCAR:
```
NbCu2Au
1.0
1.4119 0.8152 9.0161
-1.4119 0.8152 9.0161
0.0000 -1.6303 9.0161
Nb Cu Au
1 2 1
direct
0.0000 0.0000 0.0000
0.2494 0.2494 0.2494
0.7506 0.7506 0.7506
0.5000 0.5000 0.5000
```

V = 62.26 Å³/cell
M_tot = 0.000 μB/atom
DFT total energy = -5.277 eV/atom
energy relative to the lowest polymorph listed for this composition = 0.092 eV per atom
ΔH_f (0 K) = 10 kJ per mole of atoms